Computed, not measured: crystalline SrLiAl2Ga at its relaxed geometry at the PBE level of DFT.

Unit cell a=5.9502 b=5.6469 c=5.9502 alpha=90.00 beta=90.00 gamma=90.00
Closest atoms and distances in Å follow each position.
Fractional coordinates of all 5 atoms:
Li  0.0000  0.5000  0.0000  2 Sr 2.82
Al  0.0000  0.0000  0.5000  2 Sr 2.98
Al  0.5000  0.0000  0.0000  2 Sr 2.98
Ga  0.5000  0.5000  0.5000  8 Al 4.10, 4 Li 4.21
Sr  0.0000  0.0000  0.0000  2 Li 2.82, 4 Al 2.98

Summary:
- mass density (g cm⁻³) = 1.81
- final energy (eV/cell) = -8.22
- total magnetization (μB per atom) = 0.000
- energy of formation (meV/atom) = 1177.5